A relaxed structure of Sr3CaAs, computed with PBE-GGA.

Output
Final energy ... -2.805 eV/atom
DFT formation energy ... -2.330 eV/f.u.
N(E_F) ... 2.83 states/eV per cell

Geometry as CIF:
```
data_Sr3CaAs
_cell_length_a 6.131
_cell_length_b 6.131
_cell_length_c 6.131
_cell_angle_alpha 90.00
_cell_angle_beta 90.00
_cell_angle_gamma 90.00
_symmetry_space_group_name_H-M 'P 1'
_symmetry_Int_Tables_number 1
loop_
_symmetry_equiv_pos_as_xyz
'x,y,z'
loop_
_atom_site_label
_atom_site_type_symbol
_atom_site_fract_x
_atom_site_fract_y
_atom_site_fract_z
As1 As 0.000 0.000 0.000
Ca1 Ca 0.500 0.500 0.500
Sr1 Sr 0.000 0.000 0.500
Sr2 Sr 0.500 0.000 0.000
Sr3 Sr 0.000 0.500 0.000
```

A relaxed structure of SrCa3As3, computed with PBE-GGA.

Output
Final energy ... -4.198 eV/atom
DFT formation energy ... -7.749 eV/f.u.
N(E_F) ... 23.47 states/eV per cell

Geometry as CIF:
```
data_SrCa3As3
_cell_length_a 9.112
_cell_length_b 9.112
_cell_length_c 9.112
_cell_angle_alpha 90.00
_cell_angle_beta 90.00
_cell_angle_gamma 90.00
_symmetry_space_group_name_H-M 'P 1'
_symmetry_Int_Tables_number 1
loop_
_symmetry_equiv_pos_as_xyz
'x,y,z'
loop_
_atom_site_label
_atom_site_type_symbol
_atom_site_fract_x
_atom_site_fract_y
_atom_site_fract_z
Ca1 Ca 0.431 0.569 0.069
Ca2 Ca 0.318 0.182 0.818
Ca3 Ca 0.931 0.931 0.931
Ca4 Ca 0.182 0.818 0.318
Ca5 Ca 0.818 0.318 0.182
Ca6 Ca 0.682 0.682 0.682
Ca7 Ca 0.320 0.820 0.680
Ca8 Ca 0.680 0.320 0.820
Ca9 Ca 0.069 0.431 0.569
Ca10 Ca 0.180 0.180 0.180
Ca11 Ca 0.569 0.069 0.431
Ca12 Ca 0.820 0.680 0.320
Sr1 Sr 0.930 0.070 0.570
Sr2 Sr 0.070 0.570 0.930
Sr3 Sr 0.430 0.430 0.430
Sr4 Sr 0.570 0.930 0.070
As1 As 0.121 0.499 0.256
As2 As 0.999 0.244 0.879
As3 As 0.756 0.379 0.501
As4 As 0.379 0.501 0.756
As5 As 0.501 0.756 0.379
As6 As 0.244 0.879 0.999
As7 As 0.001 0.744 0.621
As8 As 0.499 0.256 0.121
As9 As 0.744 0.621 0.001
As10 As 0.256 0.121 0.499
As11 As 0.879 0.999 0.244
As12 As 0.621 0.001 0.744
```

A relaxed structure of Sr2Ca3As3, computed with PBE-GGA.

Output
Final energy ... -3.993 eV/atom
DFT formation energy ... -8.628 eV/f.u.
N(E_F) ... 2.44 states/eV per cell

Geometry as CIF:
```
data_Sr2Ca3As3
_cell_length_a 7.258
_cell_length_b 8.674
_cell_length_c 8.674
_cell_angle_alpha 60.00
_cell_angle_beta 90.00
_cell_angle_gamma 90.00
_symmetry_space_group_name_H-M 'P 1'
_symmetry_Int_Tables_number 1
loop_
_symmetry_equiv_pos_as_xyz
'x,y,z'
loop_
_atom_site_label
_atom_site_type_symbol
_atom_site_fract_x
_atom_site_fract_y
_atom_site_fract_z
As1 As 0.750 0.000 0.613
As2 As 0.250 0.000 0.387
As3 As 0.750 0.387 0.000
As4 As 0.750 0.613 0.387
As5 As 0.250 0.387 0.613
As6 As 0.250 0.613 0.000
Sr1 Sr 0.000 0.333 0.333
Sr2 Sr 0.000 0.667 0.667
Sr3 Sr 0.500 0.333 0.333
Sr4 Sr 0.500 0.667 0.667
Ca1 Ca 0.250 0.748 0.252
Ca2 Ca 0.250 0.252 0.000
Ca3 Ca 0.750 0.252 0.748
Ca4 Ca 0.750 0.000 0.252
Ca5 Ca 0.250 0.000 0.748
Ca6 Ca 0.750 0.748 0.000
```

no.,calculated volume (Å³/atom)
1,46.1
2,27.0
3,29.6